VASP calculation (PBE) on a relaxed DyHfTa crystal.

```
DyHfTa
1.0
0.000 3.390 3.390
3.390 0.000 3.390
3.390 3.390 0.000
Dy Ta Hf
1 1 1
Direct
0.250 0.250 0.250
0.750 0.750 0.750
0.000 0.000 0.000
```

Calculated volume = 77.92 Å³ per cell
VASP energy = -7.69 eV/atom
DFT formation energy = 1.111 eV per atom


VASP calculation (PBE) on a relaxed TbDyHf crystal.

```
TbDyHf
1.0
0.000 3.662 3.662
3.662 0.000 3.662
3.662 3.662 0.000
Dy Hf Tb
1 1 1
Direct
0.250 0.250 0.250
0.000 0.000 0.000
0.750 0.750 0.750
```

Calculated volume = 98.19 Å³ per cell
VASP energy = -5.54 eV/atom
DFT formation energy = 0.854 eV per atom


VASP calculation (PBE) on a relaxed DyHfTh crystal.

```
DyHfTh
1.0
3.232 -3.281 2.360
-1.342 -4.960 0.616
2.395 -3.687 -2.731
Dy Hf Th
1 1 1
Direct
0.250 0.250 0.250
0.000 0.000 0.000
0.750 0.750 0.750
```

Calculated volume = 98.02 Å³ per cell
Energy relative to the lowest polymorph listed for this composition = 0.000 eV/atom
VASP energy = -6.56 eV/atom
DFT formation energy = 0.762 eV per atom


VASP calculation (PBE) on a relaxed DyHfTl crystal.

```
DyHfTl
1.0
-5.978 0.336 -5.139
-1.338 -2.149 7.473
-0.683 4.125 1.064
Tl Dy Hf
3 3 3
Direct
0.333 0.667 0.000
0.000 0.000 0.500
0.667 0.333 0.000
0.593 0.000 0.500
0.000 0.593 0.500
0.407 0.407 0.500
0.249 0.000 0.000
0.751 0.751 0.000
0.000 0.249 0.000
```

Calculated volume = 232.60 Å³ per cell
Energy relative to the lowest polymorph listed for this composition = 0.000 eV/atom
VASP energy = -5.64 eV/atom